Ba2SiRu GGA-PBE relaxed; space group = Cm, No. 8; total magnetization = 0.0 Bohr magnetons per cell; raw formation energy = -0.268 eV/atom
1.0
4.241 -0.004 0.004
2.126 3.670 0.004
2.029 1.168 9.038
Ba Ru Si
2 1 1
Cartesian
2.063 1.188 3.362 Ba
2.064 1.189 7.935 Ba
4.186 2.410 5.658 Ru
6.309 3.632 5.653 Si